{
  "formula": "AlPbCl2",
  "functional": "PBE",
  "state": "relaxed",
  "final_energy_ev_per_atom": -3.10,
  "spacegroup": "No. 225",
  "e_form_raw_ev_per_atom": -0.31,
  "total_magnetization_mub_per_cell": 0.00,
  "crystal_system": "cubic",
  "density_g_cm3": 5.0,
  "e_above_lowest_polymorph_mev_per_atom": 280,
  "lattice_angstrom": [[0.000, 3.688, 3.688], [3.688, 0.000, 3.688], [3.688, 3.688, 0.000]],
  "species": ["Pb", "Cl", "Cl", "Al"],
  "fractional_positions": [[0.500, 0.500, 0.500], [0.250, 0.250, 0.250], [0.750, 0.750, 0.750], [0.000, 0.000, 0.000]]
}

***

{
  "formula": "TbTm3Au2",
  "functional": "PBE",
  "state": "relaxed",
  "final_energy_ev_per_atom": -4.57,
  "spacegroup": "No. 72",
  "total_magnetization_mub_per_cell": 0.00,
  "crystal_system": "orthorhombic",
  "density_g_cm3": 10.2,
  "e_above_lowest_polymorph_mev_per_atom": 186,
  "lattice_angstrom": [[6.975, 0.000, 0.000], [0.000, 7.209, 0.000], [-3.487, -3.605, 6.887]],
  "species": ["Au", "Au", "Au", "Au", "Tb", "Tb", "Tm", "Tm", "Tm", "Tm", "Tm", "Tm"],
  "fractional_positions": [[0.438, 0.642, 0.285], [0.562, 0.358, 0.715], [0.153, 0.858, 0.715], [0.847, 0.142, 0.285], [0.000, 0.500, 0.000], [0.000, 0.000, 0.000], [0.234, 0.984, 0.467], [0.500, 0.250, 0.000], [0.766, 0.516, 0.533], [0.234, 0.484, 0.467], [0.766, 0.016, 0.533], [0.500, 0.750, 0.000]]
}

***

{
  "formula": "NaCu6Cl8",
  "functional": "PBE",
  "state": "relaxed",
  "final_energy_ev_per_atom": -3.32,
  "spacegroup": "No. 148",
  "e_form_raw_ev_per_atom": -0.61,
  "total_magnetization_mub_per_cell": 0.72,
  "crystal_system": "trigonal",
  "density_g_cm3": 3.8,
  "lattice_angstrom": [[6.749, -0.194, -0.201], [-0.405, 6.740, -0.201], [-0.405, -0.417, 6.730]],
  "species": ["Cl", "Cl", "Cl", "Cl", "Cl", "Cl", "Cl", "Cl", "Cu", "Cu", "Cu", "Cu", "Cu", "Cu", "Na"],
  "fractional_positions": [[0.115, 0.802, 0.379], [0.323, 0.323, 0.323], [0.198, 0.621, 0.885], [0.677, 0.677, 0.677], [0.621, 0.885, 0.198], [0.802, 0.379, 0.115], [0.885, 0.198, 0.621], [0.379, 0.115, 0.802], [0.641, 0.220, 0.368], [0.220, 0.368, 0.641], [0.359, 0.780, 0.632], [0.632, 0.359, 0.780], [0.780, 0.632, 0.359], [0.368, 0.641, 0.220], [0.000, 0.000, 0.000]]
}

***

{
  "formula": "Zr2AlZn",
  "functional": "PBE",
  "state": "relaxed",
  "final_energy_ev_per_atom": -5.87,
  "spacegroup": "No. 10",
  "total_magnetization_mub_per_cell": 0.00,
  "crystal_system": "monoclinic",
  "density_g_cm3": 6.0,
  "lattice_angstrom": [[4.063, 0.000, 0.000], [0.000, 3.030, 0.005], [0.000, 3.008, 6.189]],
  "species": ["Zr", "Zr", "Zn", "Al"],
  "fractional_positions": [[0.000, 0.001, 0.999], [0.000, 0.499, 0.501], [0.500, 0.750, 0.750], [0.500, 0.250, 0.250]]
}

***

{
  "formula": "Zr3ScB",
  "functional": "PBE",
  "state": "relaxed",
  "final_energy_ev_per_atom": -7.81,
  "spacegroup": "No. 221",
  "total_magnetization_mub_per_cell": 0.00,
  "crystal_system": "cubic",
  "density_g_cm3": 5.2,
  "e_above_lowest_polymorph_mev_per_atom": 0,
  "lattice_angstrom": [[4.736, 0.000, 0.000], [0.000, 4.736, 0.000], [0.000, 0.000, 4.736]],
  "species": ["Zr", "Zr", "Zr", "Sc", "B"],
  "fractional_positions": [[0.500, 0.000, 0.000], [0.000, 0.500, 0.000], [0.000, 0.000, 0.500], [0.500, 0.500, 0.500], [0.000, 0.000, 0.000]]
}

***

{
  "formula": "AcSmNi2As2",
  "functional": "PBE",
  "state": "relaxed",
  "final_energy_ev_per_atom": -5.96,
  "spacegroup": "No. 164",
  "total_magnetization_mub_per_cell": 0.00,
  "crystal_system": "trigonal",
  "density_g_cm3": 8.6,
  "lattice_angstrom": [[-1.617, 3.840, -0.090], [-2.508, -3.323, -0.192], [-0.571, -0.047, 8.274]],
  "species": ["As", "As", "Sm", "Ni", "Ni", "Ac"],
  "fractional_positions": [[0.667, 0.333, 0.731], [0.333, 0.667, 0.269], [0.000, 0.000, 0.500], [0.333, 0.667, 0.738], [0.667, 0.333, 0.262], [0.000, 0.000, 0.000]]
}

***

{
  "formula": "AcTb6Ho8",
  "functional": "PBE",
  "state": "relaxed",
  "final_energy_ev_per_atom": -4.34,
  "spacegroup": "No. 148",
  "total_magnetization_mub_per_cell": 0.00,
  "crystal_system": "trigonal",
  "density_g_cm3": 8.5,
  "e_above_lowest_polymorph_mev_per_atom": 77,
  "lattice_angstrom": [[-6.869, 1.611, -4.231], [-4.659, -6.780, 0.024], [-6.111, 1.125, 5.392]],
  "species": ["Tb", "Tb", "Tb", "Tb", "Tb", "Tb", "Ho", "Ho", "Ho", "Ho", "Ho", "Ho", "Ho", "Ho", "Ac"],
  "fractional_positions": [[0.828, 0.383, 0.568], [0.432, 0.172, 0.617], [0.172, 0.617, 0.432], [0.617, 0.432, 0.172], [0.383, 0.568, 0.828], [0.568, 0.828, 0.383], [0.141, 0.944, 0.612], [0.388, 0.859, 0.056], [0.612, 0.141, 0.944], [0.944, 0.612, 0.141], [0.056, 0.388, 0.859], [0.236, 0.236, 0.236], [0.764, 0.764, 0.764], [0.859, 0.056, 0.388], [0.000, 0.000, 0.000]]
}

***

{
  "formula": "NaRe2HgO8",
  "functional": "PBE",
  "state": "relaxed",
  "final_energy_ev_per_atom": -6.96,
  "spacegroup": "No. 12",
  "e_form_raw_ev_per_atom": -1.44,
  "total_magnetization_mub_per_cell": 0.00,
  "crystal_system": "monoclinic",
  "density_g_cm3": 5.3,
  "lattice_angstrom": [[6.836, 0.000, 0.000], [3.418, 5.685, 0.945], [3.418, 3.141, 6.322]],
  "species": ["Re", "Re", "O", "O", "O", "O", "O", "O", "O", "O", "Na", "Hg"],
  "fractional_positions": [[0.309, 0.215, 0.167], [0.691, 0.785, 0.833], [0.361, 0.417, 0.861], [0.159, 0.992, 0.274], [0.841, 0.008, 0.726], [0.850, 0.547, 0.753], [0.150, 0.453, 0.247], [0.426, 0.008, 0.726], [0.639, 0.583, 0.139], [0.574, 0.992, 0.274], [0.500, 0.500, 0.500], [0.000, 0.000, 0.000]]
}

***

{
  "formula": "GdPuRhAu",
  "functional": "PBE",
  "state": "relaxed",
  "final_energy_ev_per_atom": -10.30,
  "spacegroup": "No. 216",
  "total_magnetization_mub_per_cell": 1.43,
  "crystal_system": "cubic",
  "density_g_cm3": 13.0,
  "lattice_angstrom": [[5.020, 0.000, 0.000], [2.510, 4.347, 0.000], [2.510, 1.449, 4.099]],
  "species": ["Gd", "Pu", "Rh", "Au"],
  "fractional_positions": [[0.750, 0.750, 0.750], [0.250, 0.250, 0.250], [0.500, 0.500, 0.500], [0.000, 0.000, 0.000]]
}

***

{
  "formula": "Rb2PaI4Cl2",
  "functional": "PBE",
  "state": "relaxed",
  "final_energy_ev_per_atom": -3.85,
  "spacegroup": "No. 12",
  "e_form_raw_ev_per_atom": -1.48,
  "total_magnetization_mub_per_cell": 1.00,
  "crystal_system": "monoclinic",
  "density_g_cm3": 4.1,
  "lattice_angstrom": [[6.886, -0.098, -0.066], [1.408, 7.924, 0.186], [1.408, 3.083, 7.302]],
  "species": ["I", "I", "I", "I", "Rb", "Rb", "Cl", "Cl", "Pa"],
  "fractional_positions": [[0.704, 0.844, 0.355], [0.296, 0.156, 0.645], [0.704, 0.355, 0.844], [0.296, 0.645, 0.156], [0.779, 0.334, 0.334], [0.221, 0.666, 0.666], [0.207, 0.153, 0.153], [0.793, 0.847, 0.847], [0.500, 0.000, 0.000]]
}